Compound: BeAgOs3
Source: Alexandria
Functional: PBE
Structure: optimized geometry

a b c (Å): 4.1564 4.1564 4.1564
angles (deg): 90.00 90.00 90.00
Atoms (fractional coordinates):
Be  0.0000  0.0000  0.0000
Ag  0.5000  0.5000  0.5000
Os  0.0000  0.0000  0.5000
Os  0.0000  0.5000  0.0000
Os  0.5000  0.0000  0.0000

Values from the calculation:
Formation enthalpy at 0 K (eV per atom): 1.05
Space-group type: Pm-3m
Uncorrected energy (eV/atom): -7.01
Size of the total moment (μB per formula unit): 1.32